Entry 1:
TbNdYHo2: optimized geometry, PBE-GGA.

Cell and atoms, written as extended XYZ:
```
10
Lattice="-2.068 3.380 -6.012 -7.432 -3.851 0.391 1.632 6.267 2.962" Properties=species:S:1:pos:R:3 pbc="T T T"
Ho -6.159 -0.966 -2.737
Ho -5.125 -2.656 0.269
Tb -1.601 2.639 -4.434
Tb -6.267 3.157 1.774
Ho -3.341 0.495 -2.885
Nd -2.714 4.958 -2.747
Ho -2.307 -1.195 0.121
Y -1.643 3.191 0.203
Y -6.225 2.606 -2.862
Nd -5.154 0.838 0.088
```

Properties
ΔH_f (0 K)   0.377 eV per atom
M_tot   0.00 Bohr magnetons per cell
SG   Cmcm



Entry 2:
Ag2SnPd2: optimized geometry, PBE-GGA.

Cell and atoms, written as extended XYZ:
```
20
Lattice="-4.925 0.958 -1.558 -1.979 -1.205 5.515 3.165 10.572 3.445" Properties=species:S:1:pos:R:3 pbc="T T T"
Pd -2.845 5.498 2.546
Ag -1.230 7.877 2.051
Sn -1.537 3.109 2.764
Ag -3.511 1.155 1.416
Sn -3.381 3.965 0.261
Ag -4.452 3.243 3.126
Pd 0.765 9.688 3.131
Ag -0.559 0.974 0.833
Pd -3.810 5.030 5.342
Ag 0.714 7.082 4.276
Ag -0.228 9.170 5.986
Pd -2.235 9.839 3.851
Ag -2.509 2.448 5.352
Pd -1.503 0.486 3.551
Sn -2.202 7.216 4.638
Ag -3.179 9.352 6.569
Pd -4.504 0.637 4.271
Pd 0.072 5.295 2.061
Sn -0.358 6.360 7.141
Pd -0.894 4.827 4.856
```

Properties
ΔH_f (0 K)   -0.150 eV per atom
M_tot   0.00 Bohr magnetons per cell
SG   P2_1/c
Distance to the lowest polymorph of the same formula   0 meV per atom



Entry 3:
HfSnHg2: optimized geometry, PBE-GGA.

Cell and atoms, written as extended XYZ:
```
8
Lattice="-6.348 -3.740 3.273 2.544 -7.006 -3.071 -0.324 -5.885 2.577" Properties=species:S:1:pos:R:3 pbc="T T T"
Hg -3.754 -4.698 2.318
Hf 0.000 0.000 0.000
Hf -4.287 -7.499 2.975
Hg -1.679 -8.418 2.019
Sn 0.159 -9.132 -0.197
Sn -1.902 -5.373 0.101
Hg -3.562 -13.842 2.098
Hg 0.739 -6.304 -0.878
```

Properties
ΔH_f (0 K)   0.140 eV per atom
M_tot   0.00 Bohr magnetons per cell
SG   I-42d



Entry 4:
LaTiP2O: optimized geometry, PBE-GGA.

Cell and atoms, written as extended XYZ:
```
5
Lattice="-1.088 0.044 -5.371 5.094 -1.730 -1.046 -1.280 -3.907 0.227" Properties=species:S:1:pos:R:3 pbc="T T T"
P -0.544 0.022 -2.686
La 0.000 0.000 0.000
P 2.547 -0.865 -0.523
O -0.640 -1.954 0.114
Ti 1.363 -2.797 -3.095
```

Properties
M_tot   0.62 Bohr magnetons per cell
SG   P4/mmm
Distance to the lowest polymorph of the same formula   1505 meV per atom



Entry 5:
Rb2CeNd2Se6: optimized geometry, PBE-GGA.

Cell and atoms, written as extended XYZ:
```
11
Lattice="7.452 -0.010 0.065 -3.692 6.473 0.065 -1.344 -2.310 8.123" Properties=species:S:1:pos:R:3 pbc="T T T"
Se -1.889 0.918 5.668
Se 0.685 5.342 2.586
Se 1.732 -1.188 5.668
Rb -1.807 5.377 0.065
Nd -0.645 3.155 4.127
Se 1.866 3.207 5.731
Nd 3.062 0.999 4.127
Se 0.551 0.947 2.523
Rb 5.568 1.087 0.065
Se 4.305 3.236 2.586
Ce -0.672 -1.155 4.061
```

Properties
Calculated total energy   -5.192 eV/atom
M_tot   0.00 Bohr magnetons per cell
SG   C2/m



Entry 6:
Mg2TlAg: optimized geometry, PBE-GGA.

Cell and atoms, written as extended XYZ:
```
4
Lattice="6.141 0.159 0.121 3.139 5.281 -0.121 -4.158 -3.542 2.814" Properties=species:S:1:pos:R:3 pbc="T T T"
Ag 1.715 2.174 1.346
Mg 0.249 0.146 0.000
Mg 3.344 -0.313 1.467
Tl 4.454 2.611 0.000
```

Properties
ΔH_f (0 K)   -0.054 eV per atom
M_tot   0.00 Bohr magnetons per cell
SG   Imm2



Entry 7:
CoAuSe2: optimized geometry, PBE-GGA.

Cell and atoms, written as extended XYZ:
```
4
Lattice="4.495 0.090 0.000 -0.077 4.495 0.000 0.000 0.000 3.358" Properties=species:S:1:pos:R:3 pbc="T T T"
Au 2.248 0.045 1.679
Se 2.209 2.293 0.000
Co -0.038 2.248 1.679
Se 0.000 0.000 0.000
```

Properties
Calculated total energy   -3.835 eV/atom
M_tot   0.23 Bohr magnetons per cell
SG   Cmmm



Entry 8:
TiNiPCl2: optimized geometry, PBE-GGA.

Cell and atoms, written as extended XYZ:
```
5
Lattice="-3.305 2.180 -1.887 1.409 -1.283 -3.950 -2.740 -3.902 0.291" Properties=species:S:1:pos:R:3 pbc="T T T"
P -1.370 -1.951 0.145
Ti -2.318 -1.503 -2.773
Cl 0.704 -0.642 -1.975
Ni 0.000 0.000 0.000
Cl -1.652 1.090 -0.943
```

Properties
M_tot   0.00 Bohr magnetons per cell
SG   P4/mmm
Distance to the lowest polymorph of the same formula   170 meV per atom



Entry 9:
NaCa3In2: optimized geometry, PBE-GGA.

Cell and atoms, written as extended XYZ:
```
6
Lattice="-0.760 -0.961 -3.684 -0.624 -3.674 1.087 -12.336 2.643 1.856" Properties=species:S:1:pos:R:3 pbc="T T T"
Ca -8.680 1.860 1.306
Ca 0.000 0.000 0.000
In -2.576 -1.914 -1.015
In -11.143 -0.078 0.275
Na -6.860 -0.996 -0.370
Ca -3.655 0.783 0.550
```

Properties
ΔH_f (0 K)   -0.308 eV per atom
M_tot   0.00 Bohr magnetons per cell
SG   P4/mmm



Entry 10:
HoBeCu: optimized geometry, PBE-GGA.

Cell and atoms, written as extended XYZ:
```
3
Lattice="-0.217 -2.112 2.938 4.030 -0.473 -0.043 -1.661 3.063 2.079" Properties=species:S:1:pos:R:3 pbc="T T T"
Be 0.200 1.532 1.862
Cu -0.036 -0.352 0.490
Ho 1.988 -0.703 2.623
```

Properties
ΔH_f (0 K)   -0.126 eV per atom
M_tot   0.00 Bohr magnetons per cell
SG   P-6m2
Distance to the lowest polymorph of the same formula   7 meV per atom



Entry 11:
Sc2FeRhC: optimized geometry, PBE-GGA.

Cell and atoms, written as extended XYZ:
```
5
Lattice="-3.853 0.666 2.301 0.071 -4.324 1.371 1.885 0.944 2.883" Properties=species:S:1:pos:R:3 pbc="T T T"
Sc 0.035 -2.162 0.685
C 0.000 0.000 0.000
Fe 0.943 0.472 1.442
Sc -1.926 0.333 1.151
Rh -0.949 -1.357 3.277
```

Properties
ΔH_f (0 K)   -0.508 eV per atom
M_tot   0.00 Bohr magnetons per cell
SG   P4/mmm



Entry 12:
BaTa3Os: optimized geometry, PBE-GGA.

Cell and atoms, written as extended XYZ:
```
5
Lattice="-4.613 0.817 1.811 -1.809 -3.622 -2.973 0.822 -3.383 3.621" Properties=species:S:1:pos:R:3 pbc="T T T"
Ba -2.800 -3.094 1.229
Ta 0.411 -1.691 1.810
Ta -0.904 -1.811 -1.487
Os 0.000 0.000 0.000
Ta -2.307 0.409 0.905
```

Properties
ΔH_f (0 K)   1.011 eV per atom
M_tot   0.00 Bohr magnetons per cell
SG   Pm-3m
Distance to the lowest polymorph of the same formula   0 meV per atom